This record from Alexandria via LeMat-Bulk describes an optimized crystal structure of Mn2CdAs. The functional is GGA-PBEsol.

Values from the calculation:
calculated total energy	-6.16	eV/atom
E above lowest polymorph	0.00	eV/f.u.
formation energy from the elements	0.29	eV/atom

Cell: 5.206 5.206 5.206 Å, 142.16 133.22 61.66°
Element x y z (fractional)
Mn 0.000 0.000 0.000
Mn 0.741 0.241 0.500
Cd 0.471 0.471 0.000
As 0.208 0.708 0.500